# 1
GdPaV4 | PBE | optimized geometry

The structure in POSCAR format:
```
GdPaV4
1.0
-5.115 -0.812 -1.203
-1.733 -4.912 -1.068
-3.177 -2.507 3.449
V Gd Pa
4 1 1
Direct
0.130 0.623 0.623
0.623 0.130 0.623
0.623 0.623 0.130
0.623 0.623 0.623
0.000 0.000 0.000
0.250 0.250 0.250
```

# 2
CaHoGa3 | PBE | optimized geometry

The structure in POSCAR format:
```
CaHoGa3
1.0
-1.446 -0.953 3.947
-1.062 -3.667 -1.275
12.469 -2.758 3.901
Ga Ca Ho
6 2 2
Direct
0.250 0.476 0.952
0.250 0.678 0.356
0.750 0.322 0.644
0.250 0.379 0.759
0.750 0.621 0.241
0.750 0.524 0.048
0.750 0.925 0.850
0.250 0.075 0.150
0.750 0.207 0.414
0.250 0.793 0.586
```

# 3
La2YTi2 | PBE | optimized geometry

The structure in POSCAR format:
```
La2YTi2
1.0
-0.169 -3.051 1.978
3.092 -1.163 -1.529
7.345 2.842 8.361
La Y Ti
2 1 2
Direct
0.377 0.377 0.246
0.623 0.623 0.754
0.000 0.000 0.000
0.250 0.750 0.500
0.750 0.250 0.500
```

Calculated values
**Excess energy over the best structure of this formula in the dataset**: 0.479 eV per formula unit

# 4
Mn2Nb3Fe | PBE | optimized geometry

The structure in POSCAR format:
```
Mn2Nb3Fe
1.0
3.071 0.000 0.000
0.000 3.071 0.000
0.000 0.000 9.204
Mn Nb Fe
2 3 1
Direct
0.500 0.500 0.833
0.500 0.500 0.167
0.000 0.000 0.668
0.000 0.000 0.332
0.000 0.000 0.000
0.500 0.500 0.500
```

| no. | E_tot (eV/f.u.) | Fermi-level density of states (states/eV per cell) |
| --- | --- | --- |
| 1 | -58.81 | 6.99 |
| 2 | -18.29 | 6.70 |
| 3 | -30.06 | 8.20 |
| 4 | -57.54 | 3.97 |